Below is a relaxed Tl3Tc crystal, with properties calculated at the GGA-PBE level.

Unit cell a=3.2115 b=3.2115 c=9.4774 alpha=90.00 beta=90.00 gamma=90.00
Last column: nearest neighbours and their distance in Å.
Positions (direct):
Tl: 0.0000 0.0000 0.0000  4 Tl 3.21
Tl: 0.5000 0.5000 0.2964  4 Tc 2.98, 4 Tl 3.21
Tl: 0.5000 0.5000 0.7036  4 Tc 2.98, 4 Tl 3.21
Tc: 0.0000 0.0000 0.5000  8 Tl 2.98, 4 Tc 3.21

Calculated values
energy above the most stable polymorph in this dataset	144.2	meV per atom

---

Below is a relaxed Dy6HoEr3Tm2 crystal, with properties calculated at the GGA-PBE level.

Unit cell a=6.0854 b=6.0854 c=11.6366 alpha=94.99 beta=94.99 gamma=119.94
Last column: nearest neighbours and their distance in Å.
Positions (direct):
Dy: 0.0835 0.4170 0.7497  2 Tm 3.51, 1 Ho 3.51, 6 Dy 3.51-3.52, 3 Er 3.51
Dy: 0.2501 0.2501 0.2503  1 Ho 3.51, 2 Tm 3.51, 6 Dy 3.51-3.52, 3 Er 3.51
Dy: 0.4170 0.0835 0.7497  2 Tm 3.51, 1 Ho 3.51, 6 Dy 3.51-3.52, 3 Er 3.51
Dy: 0.5830 0.9165 0.2503  2 Tm 3.51, 1 Ho 3.51, 6 Dy 3.51-3.52, 3 Er 3.51
Dy: 0.7499 0.7499 0.7497  1 Ho 3.51, 2 Tm 3.51, 6 Dy 3.51-3.52, 3 Er 3.51
Dy: 0.9165 0.5830 0.2503  2 Tm 3.51, 1 Ho 3.51, 6 Dy 3.51-3.52, 3 Er 3.51
Ho: 0.0000 0.0000 0.5000  6 Dy 3.51, 6 Tm 3.51-3.52
Er: 0.1668 0.8332 0.0000  6 Er 3.51-3.52, 6 Dy 3.51
Er: 0.5000 0.5000 0.0000  6 Er 3.51-3.52, 6 Dy 3.51
Er: 0.8332 0.1668 0.0000  6 Er 3.51-3.52, 6 Dy 3.51
Tm: 0.3333 0.6667 0.5000  6 Dy 3.51, 3 Ho 3.51-3.52, 3 Tm 3.51-3.52
Tm: 0.6667 0.3333 0.5000  6 Dy 3.51, 3 Ho 3.51-3.52, 3 Tm 3.51-3.52

---

Table of formation enthalpy at 0 K (eV per atom), in record order: 0.542 0.020